Record 1
Material: YBiPd2
Method: DFT, PBE-GGA
State: relaxed

Unit cell a=4.630 b=4.630 c=3.961 alpha=90.00 beta=90.00 gamma=90.00
Atoms (fractional coordinates):
Y1 0.000 0.000 0.000
Bi1 0.500 0.500 0.000
Pd1 0.000 0.500 0.500
Pd2 0.500 0.000 0.500

mass density	9990	kg/m3
symmetry	P4/mmm (123)
size of the total moment	0.00	μB/f.u.
E_form	-0.653	eV per atom
DFT total energy	-23.3	eV/cell
V	84.9	Å³/f.u.


Record 2
Material: YBiPd3
Method: DFT, PBE-GGA
State: relaxed

Unit cell a=5.034 b=5.034 c=5.034 alpha=90.00 beta=90.00 gamma=90.00
Atoms (fractional coordinates):
Y1 0.000 0.000 0.000
Bi1 0.500 0.500 0.500
Pd1 0.000 0.500 0.500
Pd2 0.500 0.000 0.500
Pd3 0.500 0.500 0.000

mass density	8032	kg/m3
symmetry	Pm-3m (221)
size of the total moment	0.00	μB/f.u.
E_form	0.041	eV per atom
DFT total energy	-25.7	eV/cell
V	127.6	Å³/f.u.


Record 3
Material: YBiPd
Method: DFT, PBE-GGA
State: relaxed

Unit cell a=5.377 b=5.377 c=5.377 alpha=135.95 beta=135.95 gamma=64.05
Atoms (fractional coordinates):
Y1 0.000 0.000 0.000
Bi1 0.330 0.330 0.000
Pd1 0.648 0.648 0.000

mass density	9055	kg/m3
symmetry	I4mm (107)
size of the total moment	0.00	μB/f.u.
E_form	-0.546	eV per atom
DFT total energy	-17.2	eV/cell
V	74.1	Å³/f.u.


Record 4
Material: Y2Bi2Pd
Method: DFT, PBE-GGA
State: relaxed

Unit cell a=7.546 b=7.546 c=4.689 alpha=90.00 beta=90.00 gamma=90.00
Atoms (fractional coordinates):
Y1 0.166 0.334 0.000
Y2 0.334 0.834 0.000
Y3 0.666 0.166 0.000
Y4 0.834 0.666 0.000
Bi1 0.148 0.648 0.500
Bi2 0.352 0.148 0.500
Bi3 0.648 0.852 0.500
Bi4 0.852 0.352 0.500
Pd1 0.000 0.000 0.500
Pd2 0.500 0.500 0.500

mass density	8735	kg/m3
symmetry	P4/mbm (127)
size of the total moment	0.00	μB/f.u.
E_form	-0.555	eV per atom
DFT total energy	-57.3	eV/cell
V	133.5	Å³/f.u.


Record 5
Material: Y12BiPd6
Method: DFT, PBE-GGA
State: relaxed

Unit cell a=8.698 b=8.698 c=8.698 alpha=109.47 beta=109.47 gamma=109.47
Atoms (fractional coordinates):
Y1 0.115 0.815 0.300
Y2 0.185 0.300 0.485
Y3 0.185 0.700 0.885
Y4 0.300 0.115 0.815
Y5 0.300 0.485 0.185
Y6 0.485 0.185 0.300
Y7 0.515 0.815 0.700
Y8 0.700 0.515 0.815
Y9 0.700 0.885 0.185
Y10 0.815 0.300 0.115
Y11 0.815 0.700 0.515
Y12 0.885 0.185 0.700
Bi1 0.000 0.000 0.000
Pd1 0.136 0.636 0.500
Pd2 0.364 0.500 0.864
Pd3 0.500 0.136 0.636
Pd4 0.500 0.864 0.364
Pd5 0.636 0.500 0.136
Pd6 0.864 0.364 0.500

mass density	6275	kg/m3
symmetry	Im-3 (204)
size of the total moment	0.00	μB/f.u.
E_form	-0.650	eV per atom
DFT total energy	-125.0	eV/cell
V	506.6	Å³/f.u.


Record 6
Material: YBi2Pd
Method: DFT, PBE-GGA
State: relaxed

Unit cell a=10.528 b=10.528 c=10.528 alpha=19.46 beta=19.46 gamma=19.46
Atoms (fractional coordinates):
Y1 0.000 0.000 0.000
Bi1 0.102 0.102 0.102
Bi2 0.898 0.898 0.898
Pd1 0.500 0.500 0.500

mass density	8997	kg/m3
symmetry	R-3m (166)
size of the total moment	0.00	μB/f.u.
E_form	-0.075	eV per atom
DFT total energy	-19.7	eV/cell
V	113.2	Å³/f.u.


Record 7
Material: YBiPd4
Method: DFT, PBE-GGA
State: relaxed

Unit cell a=5.146 b=5.146 c=5.029 alpha=90.91 beta=90.91 gamma=121.55
Atoms (fractional coordinates):
Y1 0.000 0.000 0.000
Bi1 0.500 0.500 0.500
Pd1 0.169 0.831 0.500
Pd2 0.333 0.667 0.000
Pd3 0.667 0.333 0.000
Pd4 0.831 0.169 0.500

mass density	10591	kg/m3
symmetry	C2/m (12)
size of the total moment	0.00	μB/f.u.
E_form	-0.568	eV per atom
DFT total energy	-34.5	eV/cell
V	113.4	Å³/f.u.


Record 8
Material: YbBiPd
Method: DFT, PBE-GGA
State: relaxed

Unit cell a=4.796 b=4.796 c=4.796 alpha=60.00 beta=60.00 gamma=60.00
Atoms (fractional coordinates):
Yb1 0.000 0.000 0.000
Bi1 0.500 0.500 0.500
Pd1 0.250 0.250 0.250

mass density	10398	kg/m3
symmetry	F-43m (216)
size of the total moment	0.32	μB/f.u.
E_form	-0.762	eV per atom
DFT total energy	-12.9	eV/cell
V	78.0	Å³/f.u.